# AgRu2Se

A PBEsol-optimized structure of AgRu2Se (SCAN, Alexandria).

Calculated values
The calculation puts the uncorrected formation energy at 438 meV/atom. The final energy is -29.837 eV per atom. The value obtained for the density of states at the Fermi level is 2.3 states/eV/f.u.

Lattice parameters (Å, degrees): 7.6810 2.9095 5.5772 90.00 100.01 90.00
Closest atoms and distances in Å follow each position.
Fractional positions:
Ag 0.0000 0.0000 0.0000  6 Ru 2.71-2.75, 2 Ag 2.91
Ag 0.5000 0.5000 0.0000  6 Ru 2.71-2.75, 2 Ag 2.91
Ru 0.2447 0.0000 0.7042  3 Se 2.43-2.49, 1 Ag 2.71, 2 Ru 2.72
Ru 0.2553 0.5000 0.2958  3 Se 2.43-2.49, 1 Ag 2.71, 2 Ru 2.72
Ru 0.7447 0.5000 0.7042  3 Se 2.43-2.49, 1 Ag 2.71, 2 Ru 2.72
Ru 0.7553 0.0000 0.2958  3 Se 2.43-2.49, 1 Ag 2.71, 2 Ru 2.72
Se 0.0000 0.5000 0.5000  6 Ru 2.43-2.49
Se 0.5000 0.0000 0.5000  6 Ru 2.43-2.49